Density functional theory data (PBE-GGA) for crystalline Ba2ZrHg at its relaxed geometry.

Cell: 9.4529 9.4529 6.7846 Å, 90.00 90.00 90.00°
Fractional coordinates of all 16 atoms:
Ba (0.2240, 0.2500, 0.1250)
Ba (0.2500, 0.7240, 0.3750)
Ba (0.2500, 0.7760, 0.8750)
Ba (0.2760, 0.2500, 0.6250)
Ba (0.7240, 0.7500, 0.6250)
Ba (0.7500, 0.2240, 0.8750)
Ba (0.7500, 0.2760, 0.3750)
Ba (0.7760, 0.7500, 0.1250)
Zr (0.0000, 0.0000, 0.5000)
Zr (0.0000, 0.5000, 0.7500)
Zr (0.5000, 0.0000, 0.2500)
Zr (0.5000, 0.5000, 0.0000)
Hg (0.0000, 0.0000, 0.0000)
Hg (0.0000, 0.5000, 0.2500)
Hg (0.5000, 0.0000, 0.7500)
Hg (0.5000, 0.5000, 0.5000)

Summary:
For the formation energy, the calculation gives 0.481 eV/atom. The crystal system is tetragonal. As for the total energy: -2.693 eV/atom. The volume is 606.3 Å³ per cell.